Tm3TlIr | Alexandria | PBE | optimized geometry; symmetry = No. 63; uncorrected energy = -5.429 eV/atom
1.0
-2.424 1.358 -2.527
-4.355 -0.202 6.860
2.767 8.679 2.012
Tm Tl Ir
6 2 2
direct
0.665 0.329 0.935 Tm
0.665 0.329 0.565 Tm
0.335 0.671 0.065 Tm
0.871 0.742 0.750 Tm
0.129 0.258 0.250 Tm
0.335 0.671 0.435 Tm
0.000 0.000 0.500 Tl
0.000 0.000 0.000 Tl
0.752 0.504 0.250 Ir
0.248 0.496 0.750 Ir